1.
Entry from OQMD via LeMat-Bulk: crystalline FeBiTe at its relaxed geometry (PBE).

The structure in CIF format:
```
data_FeBiTe
_cell_length_a 4.648
_cell_length_b 4.648
_cell_length_c 4.648
_cell_angle_alpha 60.00
_cell_angle_beta 60.00
_cell_angle_gamma 60.00
_symmetry_space_group_name_H-M 'P 1'
_symmetry_Int_Tables_number 1
_symmetry_space_group_name_Hall 'P 1'
loop_
_atom_site_label
_atom_site_type_symbol
_atom_site_fract_x
_atom_site_fract_y
_atom_site_fract_z
_atom_site_occupancy
Fe1 Fe 0.000 0.000 0.000 1
Bi1 Bi 0.750 0.750 0.750 1
Te1 Te 0.250 0.250 0.250 1
```

## Properties
VASP energy in hartree per atom: -0.1795

---

2.
Entry from OQMD via LeMat-Bulk: crystalline BaLuGa at its relaxed geometry (PBE).

The structure in CIF format:
```
data_BaLuGa
_cell_length_a 5.289
_cell_length_b 5.289
_cell_length_c 5.289
_cell_angle_alpha 60.00
_cell_angle_beta 60.00
_cell_angle_gamma 60.00
_symmetry_space_group_name_H-M 'P 1'
_symmetry_Int_Tables_number 1
_symmetry_space_group_name_Hall 'P 1'
loop_
_atom_site_label
_atom_site_type_symbol
_atom_site_fract_x
_atom_site_fract_y
_atom_site_fract_z
_atom_site_occupancy
Ba1 Ba 0.000 0.000 0.000 1
Lu1 Lu 0.250 0.250 0.250 1
Ga1 Ga 0.750 0.750 0.750 1
```

## Properties
VASP energy in hartree per atom: -0.0947

---

3.
Entry from OQMD via LeMat-Bulk: crystalline NaYFeW at its relaxed geometry (PBE).

The structure in CIF format:
```
data_NaYFeW
_cell_length_a 4.648
_cell_length_b 4.648
_cell_length_c 4.648
_cell_angle_alpha 60.00
_cell_angle_beta 60.00
_cell_angle_gamma 60.00
_symmetry_space_group_name_H-M 'P 1'
_symmetry_Int_Tables_number 1
_symmetry_space_group_name_Hall 'P 1'
loop_
_atom_site_label
_atom_site_type_symbol
_atom_site_fract_x
_atom_site_fract_y
_atom_site_fract_z
_atom_site_occupancy
Na1 Na 0.000 0.000 0.000 1
Y1 Y 0.750 0.750 0.750 1
Fe1 Fe 0.250 0.250 0.250 1
W1 W 0.500 0.500 0.500 1
```

## Properties
VASP energy in hartree per atom: -0.2310

---

4.
Entry from OQMD via LeMat-Bulk: crystalline TaMoIr6 at its relaxed geometry (PBE).

The structure in CIF format:
```
data_TaMoIr6
_cell_length_a 5.560
_cell_length_b 5.560
_cell_length_c 4.448
_cell_angle_alpha 90.00
_cell_angle_beta 90.00
_cell_angle_gamma 120.00
_symmetry_space_group_name_H-M 'P 1'
_symmetry_Int_Tables_number 1
_symmetry_space_group_name_Hall 'P 1'
loop_
_atom_site_label
_atom_site_type_symbol
_atom_site_fract_x
_atom_site_fract_y
_atom_site_fract_z
_atom_site_occupancy
Ta1 Ta 0.000 0.000 0.000 1
Mo1 Mo 0.667 0.333 0.500 1
Ir1 Ir 0.170 0.340 0.500 1
Ir2 Ir 0.170 0.830 0.500 1
Ir3 Ir 0.500 0.001 0.000 1
Ir4 Ir 0.500 0.500 0.000 1
Ir5 Ir 0.660 0.830 0.500 1
Ir6 Ir 0.999 0.500 0.000 1
```

## Properties
ΔE_f in eV/atom: -0.5100

---

5.
Entry from OQMD via LeMat-Bulk: crystalline NaErTe3As at its relaxed geometry (PBE).

The structure in CIF format:
```
data_NaErTe3As
_cell_length_a 7.958
_cell_length_b 7.958
_cell_length_c 10.891
_cell_angle_alpha 90.00
_cell_angle_beta 90.00
_cell_angle_gamma 148.62
_symmetry_space_group_name_H-M 'P 1'
_symmetry_Int_Tables_number 1
_symmetry_space_group_name_Hall 'P 1'
loop_
_atom_site_label
_atom_site_type_symbol
_atom_site_fract_x
_atom_site_fract_y
_atom_site_fract_z
_atom_site_occupancy
Na1 Na 0.227 0.773 0.750 1
Na2 Na 0.773 0.227 0.250 1
Er1 Er 0.000 0.000 0.000 1
Er2 Er 0.000 0.000 0.500 1
Te1 Te 0.111 0.889 0.250 1
Te2 Te 0.359 0.641 0.046 1
Te3 Te 0.359 0.641 0.454 1
Te4 Te 0.641 0.359 0.546 1
Te5 Te 0.641 0.359 0.954 1
Te6 Te 0.889 0.111 0.750 1
As1 As 0.464 0.536 0.250 1
As2 As 0.536 0.464 0.750 1
```

## Properties
VASP energy in hartree per atom: -0.1454

---

6.
Entry from OQMD via LeMat-Bulk: crystalline SnMo2Os at its relaxed geometry (PBE).

The structure in CIF format:
```
data_SnMo2Os
_cell_length_a 4.530
_cell_length_b 4.530
_cell_length_c 4.530
_cell_angle_alpha 60.00
_cell_angle_beta 60.00
_cell_angle_gamma 60.00
_symmetry_space_group_name_H-M 'P 1'
_symmetry_Int_Tables_number 1
_symmetry_space_group_name_Hall 'P 1'
loop_
_atom_site_label
_atom_site_type_symbol
_atom_site_fract_x
_atom_site_fract_y
_atom_site_fract_z
_atom_site_occupancy
Sn1 Sn 0.000 0.000 0.000 1
Mo1 Mo 0.500 0.500 0.500 1
Mo2 Mo 0.750 0.750 0.750 1
Os1 Os 0.250 0.250 0.250 1
```

## Properties
VASP energy in hartree per atom: -0.3282

---

7.
Entry from OQMD via LeMat-Bulk: crystalline Ta2TeIr4 at its relaxed geometry (PBE).

The structure in CIF format:
```
data_Ta2TeIr4
_cell_length_a 7.274
_cell_length_b 7.274
_cell_length_c 7.274
_cell_angle_alpha 140.71
_cell_angle_beta 140.71
_cell_angle_gamma 56.78
_symmetry_space_group_name_H-M 'P 1'
_symmetry_Int_Tables_number 1
_symmetry_space_group_name_Hall 'P 1'
loop_
_atom_site_label
_atom_site_type_symbol
_atom_site_fract_x
_atom_site_fract_y
_atom_site_fract_z
_atom_site_occupancy
Ta1 Ta 0.110 0.110 0.000 1
Ta2 Ta 0.890 0.890 0.000 1
Te1 Te 0.500 0.500 0.000 1
Ir1 Ir 0.000 0.500 0.500 1
Ir2 Ir 0.292 0.292 0.000 1
Ir3 Ir 0.500 0.000 0.500 1
Ir4 Ir 0.708 0.708 0.000 1
```

## Properties
VASP energy in hartree per atom: -0.2829

---

8.
Entry from OQMD via LeMat-Bulk: crystalline Hg4GePC2 at its relaxed geometry (PBE).

The structure in CIF format:
```
data_Hg4GePC2
_cell_length_a 3.553
_cell_length_b 3.553
_cell_length_c 13.481
_cell_angle_alpha 90.00
_cell_angle_beta 90.00
_cell_angle_gamma 120.00
_symmetry_space_group_name_H-M 'P 1'
_symmetry_Int_Tables_number 1
_symmetry_space_group_name_Hall 'P 1'
loop_
_atom_site_label
_atom_site_type_symbol
_atom_site_fract_x
_atom_site_fract_y
_atom_site_fract_z
_atom_site_occupancy
Hg1 Hg 0.000 0.000 0.138 1
Hg2 Hg 0.000 0.000 0.862 1
Hg3 Hg 0.333 0.667 0.344 1
Hg4 Hg 0.333 0.667 0.656 1
Ge1 Ge 0.000 0.000 0.500 1
P1 P 0.333 0.667 0.000 1
C1 C 0.667 0.333 0.238 1
C2 C 0.667 0.333 0.762 1
```

## Properties
VASP energy in hartree per atom: -0.0845

---

9.
Entry from OQMD via LeMat-Bulk: crystalline Sr2ZrZn at its relaxed geometry (PBE).

The structure in CIF format:
```
data_Sr2ZrZn
_cell_length_a 5.505
_cell_length_b 5.505
_cell_length_c 5.505
_cell_angle_alpha 60.00
_cell_angle_beta 60.00
_cell_angle_gamma 60.00
_symmetry_space_group_name_H-M 'P 1'
_symmetry_Int_Tables_number 1
_symmetry_space_group_name_Hall 'P 1'
loop_
_atom_site_label
_atom_site_type_symbol
_atom_site_fract_x
_atom_site_fract_y
_atom_site_fract_z
_atom_site_occupancy
Sr1 Sr 0.000 0.000 0.000 1
Sr2 Sr 0.250 0.250 0.250 1
Zr1 Zr 0.500 0.500 0.500 1
Zn1 Zn 0.750 0.750 0.750 1
```

## Properties
VASP energy in hartree per atom: -0.1027

---

10.
Entry from OQMD via LeMat-Bulk: crystalline BMo2Au at its relaxed geometry (PBE).

The structure in CIF format:
```
data_BMo2Au
_cell_length_a 4.347
_cell_length_b 4.347
_cell_length_c 4.347
_cell_angle_alpha 60.00
_cell_angle_beta 60.00
_cell_angle_gamma 60.00
_symmetry_space_group_name_H-M 'P 1'
_symmetry_Int_Tables_number 1
_symmetry_space_group_name_Hall 'P 1'
loop_
_atom_site_label
_atom_site_type_symbol
_atom_site_fract_x
_atom_site_fract_y
_atom_site_fract_z
_atom_site_occupancy
B1 B 0.000 0.000 0.000 1
Mo1 Mo 0.500 0.500 0.500 1
Mo2 Mo 0.750 0.750 0.750 1
Au1 Au 0.250 0.250 0.250 1
```

## Properties
VASP energy in hartree per atom: -0.2551

---

11.
Entry from OQMD via LeMat-Bulk: crystalline Sc2TcB at its relaxed geometry (PBE).

The structure in CIF format:
```
data_Sc2TcB
_cell_length_a 4.355
_cell_length_b 4.355
_cell_length_c 4.355
_cell_angle_alpha 60.00
_cell_angle_beta 60.00
_cell_angle_gamma 60.00
_symmetry_space_group_name_H-M 'P 1'
_symmetry_Int_Tables_number 1
_symmetry_space_group_name_Hall 'P 1'
loop_
_atom_site_label
_atom_site_type_symbol
_atom_site_fract_x
_atom_site_fract_y
_atom_site_fract_z
_atom_site_occupancy
Sc1 Sc 0.000 0.000 0.000 1
Sc2 Sc 0.250 0.250 0.250 1
Tc1 Tc 0.750 0.750 0.750 1
B1 B 0.500 0.500 0.500 1
```

## Properties
VASP energy in hartree per atom: -0.2625

---

12.
Entry from OQMD via LeMat-Bulk: crystalline Zr2N2O at its relaxed geometry (PBE).

The structure in CIF format:
```
data_Zr2N2O
_cell_length_a 3.510
_cell_length_b 3.510
_cell_length_c 11.806
_cell_angle_alpha 90.00
_cell_angle_beta 90.00
_cell_angle_gamma 120.00
_symmetry_space_group_name_H-M 'P 1'
_symmetry_Int_Tables_number 1
_symmetry_space_group_name_Hall 'P 1'
loop_
_atom_site_label
_atom_site_type_symbol
_atom_site_fract_x
_atom_site_fract_y
_atom_site_fract_z
_atom_site_occupancy
Zr1 Zr 0.333 0.667 0.115 1
Zr2 Zr 0.333 0.667 0.385 1
Zr3 Zr 0.667 0.333 0.615 1
Zr4 Zr 0.667 0.333 0.885 1
N1 N 0.333 0.667 0.573 1
N2 N 0.333 0.667 0.927 1
N3 N 0.667 0.333 0.073 1
N4 N 0.667 0.333 0.427 1
O1 O 0.000 0.000 0.250 1
O2 O 0.000 0.000 0.750 1
```

## Properties
VASP energy in hartree per atom: -0.3529